(1)
The following is a DFT calculation (GGA-PBEsol) of a relaxed structure of MnTe2.

Results
The total magnetic moment is 4.49 μB per cell. For the calculated total energy, the calculation gives -5.683 eV per atom. The crystal system is hexagonal. The density of states at the Fermi level is 0.955 states/eV per atom. The mass density is 7.3 g cm⁻³.

a b c (Å): 3.6298 3.6298 12.3164
angles (deg): 90.00 90.00 120.00
Space group P6_3/mmc (No. 194)
Inequivalent atoms, fractional coordinates:
1 Mn 0.0000 0.0000 0.2500 (multiplicity 2)
2 Te 0.3333 0.6667 0.1204 (multiplicity 4)

=====

(2)
The following is a DFT calculation (GGA-PBEsol) of a relaxed structure of MnTe.

Results
The total magnetic moment is 5.97 μB per cell. For the calculated total energy, the calculation gives -6.663 eV per atom. The crystal system is monoclinic. The density of states at the Fermi level is 0.849 states/eV per atom. The mass density is 7.3 g cm⁻³.

a b c (Å): 7.562 3.475 9.928
angles (deg): 90.00 108.37 90.00
Space group P2_1/m (No. 11)
Inequivalent atoms, fractional coordinates:
1 Mn 0.031 0.250 0.439 (multiplicity 2)
2 Mn 0.220 0.250 0.703 (multiplicity 2)
3 Mn 0.403 0.750 0.910 (multiplicity 2)
4 Te 0.050 0.750 0.826 (multiplicity 2)
5 Te 0.296 0.750 0.517 (multiplicity 2)
6 Te 0.411 0.750 0.169 (multiplicity 2)

=====

(3)
The following is a DFT calculation (GGA-PBEsol) of a relaxed structure of Mn3Te2.

Results
The total magnetic moment is 12.96 μB per cell. For the calculated total energy, the calculation gives -6.870 eV per atom. The crystal system is trigonal. The density of states at the Fermi level is 1.079 states/eV per atom. The mass density is 7.9 g cm⁻³.

a b c (Å): 3.6937 3.6937 22.5019
angles (deg): 90.00 90.00 120.00
Space group R-3m (No. 166, hexagonal axes)
Inequivalent atoms, fractional coordinates:
1 Mn 0.0000 0.0000 0.0000 (multiplicity 3)
2 Mn 0.0000 0.0000 0.1812 (multiplicity 6)
3 Te 0.0000 0.0000 0.4154 (multiplicity 6)